Tl3AsO, relaxed, DFT GGA-PBE; symmetry = Pm-3m, No. 221; formation energy without anion corrections = 2 kJ/mol of formula units; calculated total energy = -3.3364 eV/atom; N(E_F) = 0.730 states/eV/atom; excess energy over the best structure of this formula in the dataset = 0.000 eV per atom
1.0
-1.695 4.125 -2.304
1.862 -1.667 -4.353
-4.342 -2.325 -0.968
Tl As O
3 1 1
Direct
0.000 0.500 0.000 Tl
0.000 0.000 0.500 Tl
0.500 0.000 0.000 Tl
0.500 0.500 0.500 As
0.000 0.000 0.000 O


Tl12As3O5, relaxed, DFT GGA-PBE; symmetry = Ia-3d, No. 230; formation energy without anion corrections = -450 kJ/mol of formula units; calculated total energy = -3.5897 eV/atom; N(E_F) = 0.246 states/eV/atom
1.0
13.927 0.000 0.000
-4.642 13.130 0.000
-4.642 -6.565 11.371
As O Tl
12 20 48
Direct
0.750 0.375 0.125 As
0.875 0.750 0.125 As
0.375 0.750 0.625 As
0.250 0.125 0.375 As
0.875 0.125 0.250 As
0.375 0.625 0.250 As
0.625 0.375 0.750 As
0.125 0.875 0.750 As
0.750 0.875 0.625 As
0.625 0.250 0.375 As
0.125 0.250 0.875 As
0.250 0.625 0.875 As
0.125 0.375 0.250 O
0.000 0.500 0.000 O
0.000 0.000 0.000 O
0.375 0.250 0.125 O
0.500 0.000 0.500 O
0.500 0.500 0.000 O
0.125 0.750 0.375 O
0.750 0.125 0.875 O
0.750 0.625 0.375 O
0.375 0.125 0.750 O
0.625 0.875 0.250 O
0.500 0.500 0.500 O
0.500 0.000 0.000 O
0.000 0.000 0.500 O
0.250 0.375 0.625 O
0.250 0.875 0.125 O
0.000 0.500 0.500 O
0.875 0.250 0.625 O
0.625 0.750 0.875 O
0.875 0.625 0.750 O
0.709 0.121 0.029 Tl
0.320 0.529 0.408 Tl
0.971 0.379 0.291 Tl
0.529 0.209 0.121 Tl
0.589 0.709 0.680 Tl
0.971 0.592 0.180 Tl
0.320 0.791 0.411 Tl
0.092 0.911 0.121 Tl
0.592 0.971 0.680 Tl
0.709 0.589 0.180 Tl
0.791 0.471 0.379 Tl
0.820 0.908 0.029 Tl
0.121 0.709 0.529 Tl
0.379 0.408 0.089 Tl
0.089 0.908 0.379 Tl
0.411 0.121 0.592 Tl
0.089 0.180 0.209 Tl
0.471 0.680 0.092 Tl
0.820 0.911 0.291 Tl
0.121 0.411 0.092 Tl
0.379 0.971 0.791 Tl
0.592 0.621 0.411 Tl
0.908 0.820 0.529 Tl
0.791 0.320 0.911 Tl
0.408 0.379 0.589 Tl
0.092 0.180 0.471 Tl
0.209 0.680 0.089 Tl
0.180 0.089 0.709 Tl
0.621 0.029 0.209 Tl
0.879 0.589 0.908 Tl
0.529 0.320 0.908 Tl
0.589 0.879 0.408 Tl
0.911 0.820 0.791 Tl
0.911 0.092 0.621 Tl
0.879 0.291 0.471 Tl
0.180 0.092 0.971 Tl
0.621 0.592 0.911 Tl
0.408 0.029 0.320 Tl
0.291 0.411 0.820 Tl
0.209 0.529 0.621 Tl
0.908 0.089 0.879 Tl
0.680 0.209 0.589 Tl
0.471 0.791 0.879 Tl
0.029 0.408 0.820 Tl
0.411 0.291 0.320 Tl
0.029 0.621 0.709 Tl
0.680 0.471 0.592 Tl
0.291 0.879 0.971 Tl


TlAsO4, relaxed, DFT GGA-PBE; symmetry = P2_1/c, No. 14; formation energy without anion corrections = -536 kJ/mol of formula units; calculated total energy = -5.4013 eV/atom; N(E_F) = 0.432 states/eV/atom
1.0
4.889 0.000 0.000
0.000 4.987 -0.012
0.000 0.089 12.634
Tl As O
4 4 16
Direct
0.495 0.253 0.635 Tl
0.995 0.747 0.865 Tl
0.505 0.747 0.365 Tl
0.005 0.253 0.135 Tl
0.995 0.753 0.605 As
0.495 0.247 0.895 As
0.005 0.247 0.395 As
0.505 0.753 0.105 As
0.245 0.943 0.541 O
0.745 0.057 0.959 O
0.755 0.057 0.459 O
0.255 0.943 0.041 O
0.752 0.558 0.540 O
0.252 0.442 0.960 O
0.248 0.442 0.460 O
0.748 0.558 0.040 O
0.166 0.541 0.693 O
0.666 0.459 0.807 O
0.834 0.459 0.307 O
0.334 0.541 0.193 O
0.822 0.961 0.692 O
0.322 0.039 0.808 O
0.178 0.039 0.308 O
0.678 0.961 0.192 O


Tl3AsO4, relaxed, DFT GGA-PBE; symmetry = Imm2, No. 44; formation energy without anion corrections = -802 kJ/mol of formula units; calculated total energy = -4.9862 eV/atom; N(E_F) = 0.000 states/eV/atom
1.0
6.164 -0.150 0.122
-3.166 5.290 -0.122
-2.572 -1.944 5.257
Tl As O
3 1 4
Direct
0.516 0.240 0.756 Tl
0.059 0.000 0.059 Tl
0.516 0.760 0.275 Tl
0.013 0.500 0.513 As
0.152 0.672 0.824 O
0.152 0.328 0.481 O
0.627 0.256 0.371 O
0.115 0.744 0.371 O